VASP calculation (PBE) on an optimized crystal structure of Cr2InTeCl.

Calculated values
D(E_F)   0.2 states/eV/cell
Formation energy (no corrections)   0.473 eV per atom
Magnetic moment   10.0 μB per formula unit
Space-group type   P4/mmm

The structure in CIF format:
```
data_Cr2InTeCl
_chemical_formula_sum 'Cr2 In1 Te1 Cl1'
_space_group_name_H-M_alt 'P 1'
_space_group_IT_number 1
_cell_length_a 5.229
_cell_length_b 5.229
_cell_length_c 6.813
_cell_angle_alpha 90.00
_cell_angle_beta 90.00
_cell_angle_gamma 90.00
loop_
_space_group_symop_operation_xyz
'x,y,z'
loop_
_atom_site_label
_atom_site_type_symbol
_atom_site_fract_x
_atom_site_fract_y
_atom_site_fract_z
_atom_site_occupancy
Cr1 Cr 0.000 0.500 0.000 1
Cr2 Cr 0.500 0.000 0.000 1
In1 In 0.000 0.000 0.500 1
Te1 Te 0.000 0.000 0.000 1
Cl1 Cl 0.500 0.500 0.500 1
```



VASP calculation (PBE) on an optimized crystal structure of TlCrIn2Cl6.

Calculated values
Formation energy (no corrections)   -0.980 eV per atom
Magnetic moment   3.0 μB per formula unit
Space-group type   P2_1/c

The structure in CIF format:
```
data_TlCrIn2Cl6
_chemical_formula_sum 'Tl2 Cr2 In4 Cl12'
_space_group_name_H-M_alt 'P 1'
_space_group_IT_number 1
_cell_length_a 6.857
_cell_length_b 8.238
_cell_length_c 12.059
_cell_angle_alpha 90.00
_cell_angle_beta 120.34
_cell_angle_gamma 90.00
loop_
_space_group_symop_operation_xyz
'x,y,z'
loop_
_atom_site_label
_atom_site_type_symbol
_atom_site_fract_x
_atom_site_fract_y
_atom_site_fract_z
_atom_site_occupancy
Tl1 Tl 0.000 0.000 0.000 1
Tl2 Tl 0.000 0.500 0.500 1
Cr1 Cr 0.500 0.000 0.500 1
Cr2 Cr 0.500 0.500 0.000 1
In1 In 0.199 0.066 0.734 1
In2 In 0.199 0.434 0.234 1
In3 In 0.801 0.566 0.766 1
In4 In 0.801 0.934 0.266 1
Cl1 Cl 0.187 0.149 0.479 1
Cl2 Cl 0.187 0.351 0.979 1
Cl3 Cl 0.274 0.738 0.925 1
Cl4 Cl 0.274 0.762 0.425 1
Cl5 Cl 0.397 0.070 0.286 1
Cl6 Cl 0.397 0.430 0.786 1
Cl7 Cl 0.603 0.570 0.214 1
Cl8 Cl 0.603 0.930 0.714 1
Cl9 Cl 0.726 0.238 0.575 1
Cl10 Cl 0.726 0.262 0.075 1
Cl11 Cl 0.813 0.649 0.021 1
Cl12 Cl 0.813 0.851 0.521 1
```



VASP calculation (PBE) on an optimized crystal structure of Tl3Cr2InCl9.

Calculated values
D(E_F)   4.2 states/eV/cell
Formation energy (no corrections)   -0.988 eV per atom
Magnetic moment   7.0 μB per formula unit
Space-group type   P-3m1

The structure in CIF format:
```
data_Tl3Cr2InCl9
_chemical_formula_sum 'Tl3 Cr2 In1 Cl9'
_space_group_name_H-M_alt 'P 1'
_space_group_IT_number 1
_cell_length_a 7.108
_cell_length_b 7.108
_cell_length_c 9.743
_cell_angle_alpha 90.00
_cell_angle_beta 90.00
_cell_angle_gamma 120.00
loop_
_space_group_symop_operation_xyz
'x,y,z'
loop_
_atom_site_label
_atom_site_type_symbol
_atom_site_fract_x
_atom_site_fract_y
_atom_site_fract_z
_atom_site_occupancy
Tl1 Tl 0.000 0.000 0.000 1
Tl2 Tl 0.333 0.667 0.728 1
Tl3 Tl 0.667 0.333 0.272 1
Cr1 Cr 0.333 0.667 0.152 1
Cr2 Cr 0.667 0.333 0.848 1
In1 In 0.000 0.000 0.500 1
Cl1 Cl 0.000 0.500 0.000 1
Cl2 Cl 0.174 0.347 0.286 1
Cl3 Cl 0.174 0.826 0.286 1
Cl4 Cl 0.347 0.174 0.714 1
Cl5 Cl 0.500 0.000 0.000 1
Cl6 Cl 0.500 0.500 0.000 1
Cl7 Cl 0.653 0.826 0.286 1
Cl8 Cl 0.826 0.174 0.714 1
Cl9 Cl 0.826 0.653 0.714 1
```



VASP calculation (PBE) on an optimized crystal structure of TlCrInCl4.

Calculated values
D(E_F)   13.8 states/eV/cell
Formation energy (no corrections)   -0.840 eV per atom
Magnetic moment   4.0 μB per formula unit
Space-group type   Cmcm

The structure in CIF format:
```
data_TlCrInCl4
_chemical_formula_sum 'Tl2 Cr2 In2 Cl8'
_space_group_name_H-M_alt 'P 1'
_space_group_IT_number 1
_cell_length_a 7.267
_cell_length_b 7.267
_cell_length_c 9.826
_cell_angle_alpha 90.00
_cell_angle_beta 90.00
_cell_angle_gamma 115.38
loop_
_space_group_symop_operation_xyz
'x,y,z'
loop_
_atom_site_label
_atom_site_type_symbol
_atom_site_fract_x
_atom_site_fract_y
_atom_site_fract_z
_atom_site_occupancy
Tl1 Tl 0.000 0.000 0.000 1
Tl2 Tl 0.000 0.000 0.500 1
Cr1 Cr 0.375 0.625 0.750 1
Cr2 Cr 0.625 0.375 0.250 1
In1 In 0.295 0.705 0.250 1
In2 In 0.705 0.295 0.750 1
Cl1 Cl 0.260 0.740 0.564 1
Cl2 Cl 0.260 0.740 0.936 1
Cl3 Cl 0.267 0.284 0.250 1
Cl4 Cl 0.284 0.267 0.750 1
Cl5 Cl 0.716 0.733 0.250 1
Cl6 Cl 0.733 0.716 0.750 1
Cl7 Cl 0.740 0.260 0.064 1
Cl8 Cl 0.740 0.260 0.436 1
```



VASP calculation (PBE) on an optimized crystal structure of ZnCrIn2Cl6.

Calculated values
Formation energy (no corrections)   -0.925 eV per atom
Magnetic moment   4.0 μB per formula unit
Space-group type   P1

The structure in CIF format:
```
data_ZnCrIn2Cl6
_chemical_formula_sum 'Zn1 Cr1 In2 Cl6'
_space_group_name_H-M_alt 'P 1'
_space_group_IT_number 1
_cell_length_a 6.969
_cell_length_b 7.014
_cell_length_c 7.842
_cell_angle_alpha 70.72
_cell_angle_beta 63.74
_cell_angle_gamma 60.29
loop_
_space_group_symop_operation_xyz
'x,y,z'
loop_
_atom_site_label
_atom_site_type_symbol
_atom_site_fract_x
_atom_site_fract_y
_atom_site_fract_z
_atom_site_occupancy
Zn1 Zn 0.000 0.000 0.000 1
Cr1 Cr 0.532 0.609 0.329 1
In1 In 0.251 0.354 0.145 1
In2 In 0.823 0.734 0.629 1
Cl1 Cl 0.213 0.820 0.750 1
Cl2 Cl 0.216 0.887 0.209 1
Cl3 Cl 0.325 0.387 0.486 1
Cl4 Cl 0.688 0.888 0.210 1
Cl5 Cl 0.806 0.387 0.486 1
Cl6 Cl 0.816 0.373 0.999 1
```



VASP calculation (PBE) on an optimized crystal structure of CrIr2Cl.

Calculated values
E above lowest polymorph   588.3 meV/atom
D(E_F)   3.7 states/eV/cell
Formation energy (no corrections)   0.795 eV per atom
Magnetic moment   1.9 μB per formula unit
Space-group type   I4/mmm

The structure in CIF format:
```
data_CrIr2Cl
_chemical_formula_sum 'Cr1 Ir2 Cl1'
_space_group_name_H-M_alt 'P 1'
_space_group_IT_number 1
_cell_length_a 4.676
_cell_length_b 4.676
_cell_length_c 4.676
_cell_angle_alpha 129.44
_cell_angle_beta 129.44
_cell_angle_gamma 74.30
loop_
_space_group_symop_operation_xyz
'x,y,z'
loop_
_atom_site_label
_atom_site_type_symbol
_atom_site_fract_x
_atom_site_fract_y
_atom_site_fract_z
_atom_site_occupancy
Cr1 Cr 0.000 0.000 0.000 1
Ir1 Ir 0.250 0.750 0.500 1
Ir2 Ir 0.750 0.250 0.500 1
Cl1 Cl 0.500 0.500 0.000 1
```



VASP calculation (PBE) on an optimized crystal structure of CrIr2Cl.

Calculated values
E above lowest polymorph   642.5 meV/atom
D(E_F)   4.1 states/eV/cell
Formation energy (no corrections)   0.849 eV per atom
Magnetic moment   3.0 μB per formula unit
Space-group type   Cmmm

The structure in CIF format:
```
data_CrIr2Cl
_chemical_formula_sum 'Cr1 Ir2 Cl1'
_space_group_name_H-M_alt 'P 1'
_space_group_IT_number 1
_cell_length_a 4.666
_cell_length_b 4.666
_cell_length_c 2.838
_cell_angle_alpha 90.00
_cell_angle_beta 90.00
_cell_angle_gamma 105.37
loop_
_space_group_symop_operation_xyz
'x,y,z'
loop_
_atom_site_label
_atom_site_type_symbol
_atom_site_fract_x
_atom_site_fract_y
_atom_site_fract_z
_atom_site_occupancy
Cr1 Cr 0.000 0.000 0.000 1
Ir1 Ir 0.000 0.500 0.500 1
Ir2 Ir 0.500 0.000 0.500 1
Cl1 Cl 0.500 0.500 0.000 1
```



VASP calculation (PBE) on an optimized crystal structure of CrIrCl4.

Calculated values
D(E_F)   11.0 states/eV/cell
Formation energy (no corrections)   1.378 eV per atom
Magnetic moment   3.3 μB per formula unit
Space-group type   F-43m

The structure in CIF format:
```
data_CrIrCl4
_chemical_formula_sum 'Cr1 Ir1 Cl4'
_space_group_name_H-M_alt 'P 1'
_space_group_IT_number 1
_cell_length_a 5.669
_cell_length_b 5.669
_cell_length_c 5.669
_cell_angle_alpha 60.00
_cell_angle_beta 60.00
_cell_angle_gamma 60.00
loop_
_space_group_symop_operation_xyz
'x,y,z'
loop_
_atom_site_label
_atom_site_type_symbol
_atom_site_fract_x
_atom_site_fract_y
_atom_site_fract_z
_atom_site_occupancy
Cr1 Cr 0.000 0.000 0.000 1
Ir1 Ir 0.750 0.750 0.750 1
Cl1 Cl 0.376 0.376 0.376 1
Cl2 Cl 0.376 0.376 0.873 1
Cl3 Cl 0.376 0.873 0.376 1
Cl4 Cl 0.873 0.376 0.376 1
```



VASP calculation (PBE) on an optimized crystal structure of Cr2IrCl2.

Calculated values
E above lowest polymorph   193.5 meV/atom
D(E_F)   5.8 states/eV/cell
Formation energy (no corrections)   0.800 eV per atom
Magnetic moment   0.0 μB per formula unit
Space-group type   I4/mmm

The structure in CIF format:
```
data_Cr2IrCl2
_chemical_formula_sum 'Cr2 Ir1 Cl2'
_space_group_name_H-M_alt 'P 1'
_space_group_IT_number 1
_cell_length_a 5.296
_cell_length_b 5.296
_cell_length_c 5.296
_cell_angle_alpha 135.23
_cell_angle_beta 135.23
_cell_angle_gamma 65.17
loop_
_space_group_symop_operation_xyz
'x,y,z'
loop_
_atom_site_label
_atom_site_type_symbol
_atom_site_fract_x
_atom_site_fract_y
_atom_site_fract_z
_atom_site_occupancy
Cr1 Cr 0.250 0.750 0.500 1
Cr2 Cr 0.750 0.250 0.500 1
Ir1 Ir 0.000 0.000 0.000 1
Cl1 Cl 0.357 0.357 0.000 1
Cl2 Cl 0.643 0.643 0.000 1
```



VASP calculation (PBE) on an optimized crystal structure of CrIr2Cl.

Calculated values
E above lowest polymorph   705.8 meV/atom
D(E_F)   5.6 states/eV/cell
Formation energy (no corrections)   0.912 eV per atom
Magnetic moment   3.4 μB per formula unit
Space-group type   P4/mmm

The structure in CIF format:
```
data_CrIr2Cl
_chemical_formula_sum 'Cr1 Ir2 Cl1'
_space_group_name_H-M_alt 'P 1'
_space_group_IT_number 1
_cell_length_a 4.578
_cell_length_b 4.578
_cell_length_c 2.855
_cell_angle_alpha 90.00
_cell_angle_beta 90.00
_cell_angle_gamma 90.00
loop_
_space_group_symop_operation_xyz
'x,y,z'
loop_
_atom_site_label
_atom_site_type_symbol
_atom_site_fract_x
_atom_site_fract_y
_atom_site_fract_z
_atom_site_occupancy
Cr1 Cr 0.000 0.000 0.000 1
Ir1 Ir 0.000 0.500 0.500 1
Ir2 Ir 0.500 0.000 0.500 1
Cl1 Cl 0.500 0.500 0.000 1
```



VASP calculation (PBE) on an optimized crystal structure of CrIr2Cl.

Calculated values
E above lowest polymorph   418.3 meV/atom
D(E_F)   5.0 states/eV/cell
Formation energy (no corrections)   0.625 eV per atom
Magnetic moment   3.2 μB per formula unit
Space-group type   P2/m

The structure in CIF format:
```
data_CrIr2Cl
_chemical_formula_sum 'Cr1 Ir2 Cl1'
_space_group_name_H-M_alt 'P 1'
_space_group_IT_number 1
_cell_length_a 4.669
_cell_length_b 2.787
_cell_length_c 4.675
_cell_angle_alpha 90.00
_cell_angle_beta 90.09
_cell_angle_gamma 90.00
loop_
_space_group_symop_operation_xyz
'x,y,z'
loop_
_atom_site_label
_atom_site_type_symbol
_atom_site_fract_x
_atom_site_fract_y
_atom_site_fract_z
_atom_site_occupancy
Cr1 Cr 0.000 0.000 0.000 1
Ir1 Ir 0.000 0.500 0.500 1
Ir2 Ir 0.500 0.000 0.500 1
Cl1 Cl 0.500 0.500 0.000 1
```



VASP calculation (PBE) on an optimized crystal structure of CrIr2Cl.

Calculated values
E above lowest polymorph   135.7 meV/atom
D(E_F)   3.9 states/eV/cell
Formation energy (no corrections)   0.342 eV per atom
Magnetic moment   3.1 μB per formula unit
Space-group type   Pmm2

The structure in CIF format:
```
data_CrIr2Cl
_chemical_formula_sum 'Cr1 Ir2 Cl1'
_space_group_name_H-M_alt 'P 1'
_space_group_IT_number 1
_cell_length_a 2.883
_cell_length_b 3.602
_cell_length_c 6.533
_cell_angle_alpha 90.00
_cell_angle_beta 90.00
_cell_angle_gamma 90.00
loop_
_space_group_symop_operation_xyz
'x,y,z'
loop_
_atom_site_label
_atom_site_type_symbol
_atom_site_fract_x
_atom_site_fract_y
_atom_site_fract_z
_atom_site_occupancy
Cr1 Cr 0.000 0.000 0.000 1
Ir1 Ir 0.000 0.000 0.604 1
Ir2 Ir 0.500 0.500 0.783 1
Cl1 Cl 0.000 0.500 0.273 1
```



Among the records above, which one has the highest formation energy (no corrections)? CrIrCl4



The lowest magnetic moment belongs to which entry? Cr2IrCl2